## 1
# LaHg2Se2, optimized geometry, DFT PBE-GGA
data_LaHg2Se2
_cell_length_a 4.0204
_cell_length_b 4.0204
_cell_length_c 17.7973
_cell_angle_alpha 90.00
_cell_angle_beta 90.00
_cell_angle_gamma 90.00
_symmetry_space_group_name_H-M 'I 4/m m m'
_symmetry_Int_Tables_number 139
_symmetry_space_group_name_Hall '-I 4 2'
loop_
_atom_site_label
_atom_site_fract_x
_atom_site_fract_y
_atom_site_fract_z
_atom_site_occupancy
La1 0.0000 0.0000 0.0000 1
Hg1 0.0000 0.5000 0.2500 1
Se1 0.0000 0.0000 0.4174 1
# Magnetization, μB per formula unit: 0.00
# Density, g/cm³: 8.1
# Crystal system: tetragonal

***

## 2
# LaHg2Se2, optimized geometry, DFT PBE-GGA
data_LaHg2Se2
_cell_length_a 7.7954
_cell_length_b 7.7954
_cell_length_c 4.6049
_cell_angle_alpha 90.00
_cell_angle_beta 90.00
_cell_angle_gamma 90.00
_symmetry_space_group_name_H-M 'P 4/m b m'
_symmetry_Int_Tables_number 127
_symmetry_space_group_name_Hall '-P 4 2ab'
loop_
_atom_site_label
_atom_site_fract_x
_atom_site_fract_y
_atom_site_fract_z
_atom_site_occupancy
La1 0.0000 0.0000 0.0000 1
Hg1 0.1488 0.3512 0.5000 1
Se1 0.1560 0.6560 0.0000 1
# Magnetization, μB per formula unit: 0.00
# Density, g/cm³: 8.3
# Crystal system: tetragonal

***

## 3
# LaHg2Se2, optimized geometry, DFT PBE-GGA
data_LaHg2Se2
_cell_length_a 5.4627
_cell_length_b 5.4627
_cell_length_c 9.1232
_cell_angle_alpha 90.00
_cell_angle_beta 90.00
_cell_angle_gamma 90.00
_symmetry_space_group_name_H-M 'I 4/m m m'
_symmetry_Int_Tables_number 139
_symmetry_space_group_name_Hall '-I 4 2'
loop_
_atom_site_label
_atom_site_fract_x
_atom_site_fract_y
_atom_site_fract_z
_atom_site_occupancy
La1 0.0000 0.0000 0.0000 1
Hg1 0.0000 0.0000 0.3535 1
Se1 0.0000 0.5000 0.2500 1
# Magnetization, μB per formula unit: 0.11
# Density, g/cm³: 8.5
# Crystal system: tetragonal

***

Preferred: 1; penalty for the next structure: 0.180 eV/atom.